1.
Material: BeCrIn2Pb
Method: DFT, PBE
State: optimized geometry

**ΔH_f (0 K)**: 1.668 eV per atom
**Calculated total energy**: -2.84 eV/atom
**SG**: P4/mmm (123)

a = 5.8009 Å, b = 5.8009 Å, c = 4.4254 Å
α = 90.00°, β = 90.00°, γ = 90.00°
Sites, in units of the cell vectors:
Be: 0.0000 0.0000 0.0000
Cr: 0.5000 0.5000 0.0000
In: 0.0000 0.5000 0.5000
In: 0.5000 0.0000 0.5000
Pb: 0.0000 0.0000 0.5000

2.
Material: Zr2MnRe
Method: DFT, PBE
State: optimized geometry

**ΔH_f (0 K)**: -0.001 eV per atom
**Calculated total energy**: -9.68 eV/atom
**SG**: P4mm (99)

a = 2.9697 Å, b = 2.9697 Å, c = 8.1405 Å
α = 90.00°, β = 90.00°, γ = 90.00°
Sites, in units of the cell vectors:
Zr: 0.0000 0.0000 0.0000
Zr: 0.5000 0.5000 0.3441
Mn: 0.0000 0.0000 0.5822
Re: 0.5000 0.5000 0.7451

3.
Material: Ba3TaFe
Method: DFT, PBE
State: optimized geometry

**Offset from the most stable computed form**: 0.0 meV per atom
**ΔH_f (0 K)**: 1.406 eV per atom
**Calculated total energy**: -3.81 eV/atom
**SG**: Pm-3m (221)

a = 6.0921 Å, b = 6.0921 Å, c = 6.0921 Å
α = 90.00°, β = 90.00°, γ = 90.00°
Sites, in units of the cell vectors:
Ba: 0.0000 0.0000 0.5000
Ba: 0.0000 0.5000 0.0000
Ba: 0.5000 0.0000 0.0000
Ta: 0.0000 0.0000 0.0000
Fe: 0.5000 0.5000 0.5000

4.
Material: Pm3Dy4Bi4
Method: DFT, PBE
State: optimized geometry

**ΔH_f (0 K)**: -0.517 eV per atom
**Calculated total energy**: -4.90 eV/atom
**SG**: Amm2 (38)

a = 11.4936 Å, b = 7.4129 Å, c = 7.4129 Å
α = 34.24°, β = 90.00°, γ = 90.00°
Sites, in units of the cell vectors:
Pm: 0.0000 0.0000 0.0000
Pm: 0.3518 0.0750 0.0750
Pm: 0.6482 0.0750 0.0750
Dy: 0.0000 0.3022 0.3022
Dy: 0.2427 0.7745 0.7745
Dy: 0.5000 0.3742 0.3742
Dy: 0.7573 0.7745 0.7745
Bi: 0.0000 0.6563 0.6563
Bi: 0.2189 0.4400 0.4400
Bi: 0.5000 0.7023 0.7023
Bi: 0.7811 0.4400 0.4400

5.
Material: Pr3NdHoEr
Method: DFT, PBE
State: optimized geometry

**ΔH_f (0 K)**: 0.019 eV per atom
**Calculated total energy**: -4.69 eV/atom
**SG**: Cmcm (63)

a = 8.1720 Å, b = 8.1720 Å, c = 10.2647 Å
α = 90.00°, β = 90.00°, γ = 143.25°
Sites, in units of the cell vectors:
Pr: 0.1660 0.8340 0.5007
Pr: 0.1660 0.8340 0.9993
Pr: 0.3332 0.6668 0.7500
Pr: 0.6668 0.3332 0.2500
Pr: 0.8340 0.1660 0.0007
Pr: 0.8340 0.1660 0.4993
Nd: 0.5000 0.5000 0.0000
Nd: 0.5000 0.5000 0.5000
Ho: 0.0018 0.9982 0.7500
Ho: 0.9982 0.0018 0.2500
Er: 0.3354 0.6646 0.2500
Er: 0.6646 0.3354 0.7500

6.
Material: HgPbO2F
Method: DFT, PBE
State: optimized geometry

**Calculated total energy**: -3.74 eV/atom
**SG**: P4/mmm (123)
**Formation energy from raw total energies**: -2.91 eV/f.u.

a = 4.1966 Å, b = 4.1966 Å, c = 4.4859 Å
α = 90.00°, β = 90.00°, γ = 90.00°
Sites, in units of the cell vectors:
Hg: 0.0000 0.0000 0.0000
Pb: 0.5000 0.5000 0.5000
O: 0.0000 0.5000 0.0000
O: 0.5000 0.0000 0.0000
F: 0.0000 0.0000 0.5000

7.
Material: SbPd2O
Method: DFT, PBE
State: optimized geometry

**Offset from the most stable computed form**: 83.2 meV per atom
**Calculated total energy**: -5.04 eV/atom
**SG**: Fm-3m (225)
**Formation energy from raw total energies**: -0.70 eV/f.u.

a = 4.4089 Å, b = 4.4089 Å, c = 4.4089 Å
α = 60.00°, β = 60.00°, γ = 60.00°
Sites, in units of the cell vectors:
Sb: 0.0000 0.0000 0.0000
Pd: 0.2500 0.2500 0.2500
Pd: 0.7500 0.7500 0.7500
O: 0.5000 0.5000 0.5000

8.
Material: MnNb2BiB
Method: DFT, PBE
State: optimized geometry

**ΔH_f (0 K)**: 2.728 eV per atom
**Calculated total energy**: -5.25 eV/atom
**SG**: P4/mmm (123)

a = 5.2616 Å, b = 5.2616 Å, c = 4.2503 Å
α = 90.00°, β = 90.00°, γ = 90.00°
Sites, in units of the cell vectors:
Mn: 0.0000 0.0000 0.0000
Nb: 0.0000 0.5000 0.5000
Nb: 0.5000 0.0000 0.5000
Bi: 0.5000 0.5000 0.5000
B: 0.5000 0.5000 0.0000

9.
Material: Y2Mg
Method: DFT, PBE
State: optimized geometry

**ΔH_f (0 K)**: 0.039 eV per atom
**Calculated total energy**: -4.80 eV/atom
**SG**: P-3m1 (164)

a = 5.4512 Å, b = 5.4512 Å, c = 3.4260 Å
α = 90.00°, β = 90.00°, γ = 120.00°
Sites, in units of the cell vectors:
Y: 0.3333 0.6667 0.2867
Y: 0.6667 0.3333 0.7133
Mg: 0.0000 0.0000 0.0000

10.
Material: LiIn6Pb5
Method: DFT, PBE
State: optimized geometry

**ΔH_f (0 K)**: -0.020 eV per atom
**Calculated total energy**: -3.09 eV/atom
**SG**: C2/m (12)

a = 5.8604 Å, b = 5.8604 Å, c = 11.5873 Å
α = 95.14°, β = 95.14°, γ = 119.57°
Sites, in units of the cell vectors:
Li: 0.0000 0.0000 0.0000
In: 0.0807 0.4069 0.2431
In: 0.2457 0.2457 0.7569
In: 0.4069 0.0807 0.2431
In: 0.5931 0.9193 0.7569
In: 0.7543 0.7543 0.2431
In: 0.9193 0.5931 0.7569
Pb: 0.1674 0.8326 0.5000
Pb: 0.3330 0.6670 0.0000
Pb: 0.5000 0.5000 0.5000
Pb: 0.6670 0.3330 0.0000
Pb: 0.8326 0.1674 0.5000

11.
Material: LiTl4Te
Method: DFT, PBE
State: optimized geometry

**Calculated total energy**: -2.41 eV/atom
**SG**: F-43m (216)
**Formation energy from raw total energies**: 0.06 eV/f.u.

a = 6.4813 Å, b = 6.4813 Å, c = 6.4813 Å
α = 60.00°, β = 60.00°, γ = 60.00°
Sites, in units of the cell vectors:
Li: 0.0000 0.0000 0.0000
Tl: 0.3750 0.3750 0.3750
Tl: 0.3750 0.3750 0.8749
Tl: 0.3750 0.8749 0.3750
Tl: 0.8749 0.3750 0.3750
Te: 0.7500 0.7500 0.7500

12.
Material: AlIn
Method: DFT, PBE
State: optimized geometry

**ΔH_f (0 K)**: 0.616 eV per atom
**Calculated total energy**: -2.62 eV/atom
**SG**: Pm-3n (223)

a = 7.7839 Å, b = 7.7839 Å, c = 7.7839 Å
α = 90.00°, β = 90.00°, γ = 90.00°
Sites, in units of the cell vectors:
Al: 0.0000 0.2500 0.5000
Al: 0.0000 0.7500 0.5000
Al: 0.2500 0.5000 0.0000
Al: 0.5000 0.0000 0.2500
Al: 0.5000 0.0000 0.7500
Al: 0.7500 0.5000 0.0000
In: 0.0000 0.5000 0.2500
In: 0.0000 0.5000 0.7500
In: 0.2500 0.0000 0.5000
In: 0.5000 0.2500 0.0000
In: 0.5000 0.7500 0.0000
In: 0.7500 0.0000 0.5000

13.
Material: KSb2Pd
Method: DFT, PBE
State: optimized geometry

**Offset from the most stable computed form**: 176.2 meV per atom
**Calculated total energy**: -3.87 eV/atom
**SG**: R-3m (166)
**Formation energy from raw total energies**: -0.94 eV/f.u.

a = 9.3874 Å, b = 9.3874 Å, c = 9.3874 Å
α = 26.32°, β = 26.32°, γ = 26.32°
Sites, in units of the cell vectors:
K: 0.0000 0.0000 0.0000
Sb: 0.1252 0.1252 0.1252
Sb: 0.8748 0.8748 0.8748
Pd: 0.5000 0.5000 0.5000

14.
Material: LaPrYSe3
Method: DFT, PBE
State: optimized geometry

**Calculated total energy**: -6.27 eV/atom
**SG**: P2_1/m (11)
**Formation energy from raw total energies**: -10.99 eV/f.u.

a = 7.3128 Å, b = 4.1268 Å, c = 10.9661 Å
α = 90.00°, β = 102.70°, γ = 90.00°
Sites, in units of the cell vectors:
La: 0.1593 0.2500 0.1933
La: 0.8407 0.7500 0.8067
Pr: 0.2641 0.7500 0.5568
Pr: 0.7359 0.2500 0.4432
Y: 0.3781 0.2500 0.8716
Y: 0.6219 0.7500 0.1284
Se: 0.0492 0.2500 0.6729
Se: 0.2256 0.7500 0.9989
Se: 0.4440 0.7500 0.3366
Se: 0.5560 0.2500 0.6634
Se: 0.7744 0.2500 0.0011
Se: 0.9508 0.7500 0.3271

15.
Material: AcCeNi3
Method: DFT, PBE
State: optimized geometry

**ΔH_f (0 K)**: -0.289 eV per atom
**Calculated total energy**: -5.77 eV/atom
**SG**: Cmcm (63)

a = 12.5545 Å, b = 12.5545 Å, c = 4.1470 Å
α = 90.00°, β = 90.00°, γ = 161.68°
Sites, in units of the cell vectors:
Ac: 0.0727 0.9273 0.7500
Ac: 0.9273 0.0727 0.2500
Ce: 0.2030 0.7970 0.2500
Ce: 0.7970 0.2030 0.7500
Ni: 0.3154 0.6846 0.2500
Ni: 0.3740 0.6260 0.7500
Ni: 0.4734 0.5266 0.7500
Ni: 0.5266 0.4734 0.2500
Ni: 0.6260 0.3740 0.2500
Ni: 0.6846 0.3154 0.7500

16.
Material: GdTmHgAu
Method: DFT, PBE
State: optimized geometry

**ΔH_f (0 K)**: -0.656 eV per atom
**Calculated total energy**: -6.19 eV/atom
**SG**: F-43m (216)

a = 5.1715 Å, b = 5.1715 Å, c = 5.1715 Å
α = 60.00°, β = 60.00°, γ = 60.00°
Sites, in units of the cell vectors:
Gd: 0.0000 0.0000 0.0000
Tm: 0.5000 0.5000 0.5000
Hg: 0.2500 0.2500 0.2500
Au: 0.7500 0.7500 0.7500

17.
Material: InGaBr2
Method: DFT, PBE
State: optimized geometry

**Offset from the most stable computed form**: 87.9 meV per atom
**Calculated total energy**: -2.79 eV/atom
**SG**: I-42d (122)
**Formation energy from raw total energies**: -2.03 eV/f.u.

a = 8.8050 Å, b = 8.8050 Å, c = 8.8050 Å
α = 131.41°, β = 131.41°, γ = 71.16°
Sites, in units of the cell vectors:
In: 0.0000 0.0000 0.0000
In: 0.7500 0.2500 0.5000
Ga: 0.2500 0.7500 0.5000
Ga: 0.5000 0.5000 0.0000
Br: 0.1480 0.6250 0.0230
Br: 0.3750 0.3980 0.5230
Br: 0.6020 0.1250 0.9770
Br: 0.8750 0.8520 0.4770

18.
Material: Ag4Te2Cl3
Method: DFT, PBE
State: optimized geometry

**Offset from the most stable computed form**: 0.0 meV per atom
**Calculated total energy**: -2.88 eV/atom
**SG**: C2/c (15)
**Formation energy from raw total energies**: -2.67 eV/f.u.

a = 8.3111 Å, b = 8.3111 Å, c = 7.9934 Å
α = 108.08°, β = 108.08°, γ = 94.46°
Sites, in units of the cell vectors:
Ag: 0.1027 0.7542 0.9332
Ag: 0.2458 0.8973 0.5668
Ag: 0.2536 0.4208 0.2660
Ag: 0.4208 0.2536 0.7660
Ag: 0.5792 0.7464 0.2340
Ag: 0.7464 0.5792 0.7340
Ag: 0.7542 0.1027 0.4332
Ag: 0.8973 0.2458 0.0669
Te: 0.0448 0.3400 0.4479
Te: 0.3400 0.0448 0.9479
Te: 0.6600 0.9552 0.0521
Te: 0.9552 0.6600 0.5521
Cl: 0.0856 0.9144 0.2500
Cl: 0.2840 0.5083 0.9962
Cl: 0.4917 0.7160 0.5038
Cl: 0.5083 0.2840 0.4962
Cl: 0.7160 0.4917 0.0038
Cl: 0.9144 0.0856 0.7500

19.
Material: TaZn2
Method: DFT, PBE
State: optimized geometry

**ΔH_f (0 K)**: 0.286 eV per atom
**Calculated total energy**: -4.51 eV/atom
**SG**: P6_3/mmc (194)

a = 4.5064 Å, b = 4.5064 Å, c = 5.3532 Å
α = 90.00°, β = 90.00°, γ = 120.00°
Sites, in units of the cell vectors:
Ta: 0.3333 0.6667 0.2500
Ta: 0.6667 0.3333 0.7500
Zn: 0.0000 0.0000 0.0000
Zn: 0.0000 0.0000 0.5000
Zn: 0.3333 0.6667 0.7500
Zn: 0.6667 0.3333 0.2500

20.
Material: Li2LaSe
Method: DFT, PBE
State: optimized geometry

**Calculated total energy**: -3.83 eV/atom
**SG**: P2/m (10)
**Formation energy from raw total energies**: -3.07 eV/f.u.

a = 4.1009 Å, b = 4.7037 Å, c = 4.8408 Å
α = 90.00°, β = 96.08°, γ = 90.00°
Sites, in units of the cell vectors:
Li: 0.1155 0.0000 0.2832
Li: 0.8845 0.0000 0.7168
La: 0.5000 0.5000 0.0000
Se: 0.0000 0.5000 0.5000